1.
Material: PrDy2ErAg4
Method: DFT, PBE-GGA
State: optimized geometry

It has space group R-3m (No. 166, hexagonal axes), with a = 5.1742 Å, b = 5.1742 Å, c = 25.5589 Å, α = 90.00°, β = 90.00° and γ = 120.00°. The inequivalent atoms are Pr at (0.0000, 0.0000, 0.0000), Dy at (0.0000, 0.0000, 0.2484), Er at (0.0000, 0.0000, 0.5000), Ag at (0.0000, 0.0000, 0.1275) and Ag at (0.0000, 0.0000, 0.3799).

=====

2.
Material: Ac6MgHg5
Method: DFT, PBE-GGA
State: optimized geometry

It has space group C2/m (No. 12), with a = 18.1175 Å, b = 8.1160 Å, c = 5.7263 Å, α = 90.00°, β = 108.32° and γ = 90.00°. The inequivalent atoms are Ac at (0.0000, 0.2436, 0.0000), Ac at (0.1687, 0.2478, 0.6688), Mg at (0.0000, 0.5000, 0.5000), Hg at (0.0000, 0.0000, 0.5000), Hg at (0.1572, 0.5000, 0.1574) and Hg at (0.1661, 0.0000, 0.1660).

=====

Sequential DFT formation energy output: -297, -404 meV/atom
Sequential V output: 24.7, 33.3 Å³/atom